No. 1
Computed, not measured: KRbLa3 at its PBEsol-relaxed geometry at the SCAN level of DFT.

Cell lengths 5.9404, 5.9404, 5.9404 Å; angles 90.00, 90.00, 90.00 degrees
Last column: nearest neighbours and their distance in Å.
Space group Pm-3m (No. 221)
Inequivalent atoms, fractional coordinates:
K1 0.0000 0.0000 0.0000  12 La 4.20
Rb1 0.5000 0.5000 0.5000  6 La 2.97
La1 0.0000 0.5000 0.5000  2 Rb 2.97

Calculated values
density of states at the Fermi level	0.89	states/eV/atom
magnetic moment	0.0	μB/cell
ΔE_f	981	meV per atom
final energy	-30.70	eV per atom
crystal system	cubic

=====

No. 2
Computed, not measured: KRb2LaTc at its PBEsol-relaxed geometry at the SCAN level of DFT.

Cell lengths 6.0058, 6.0058, 6.6198 Å; angles 90.00, 90.00, 90.00 degrees
Last column: nearest neighbours and their distance in Å.
Space group P4/mmm (No. 123)
Inequivalent atoms, fractional coordinates:
K1 0.0000 0.0000 0.0000  4 Rb 3.00, 2 La 3.31
Rb1 0.0000 0.5000 0.0000  2 K 3.00
La1 0.0000 0.0000 0.5000  2 K 3.31
Tc1 0.5000 0.5000 0.5000  4 La 4.25, 8 Rb 4.47

Calculated values
density of states at the Fermi level	1.14	states/eV/atom
magnetic moment	1.1	μB/cell
ΔE_f	1682	meV per atom
final energy	-23.91	eV per atom
crystal system	tetragonal

=====

No. 3
Computed, not measured: K2LaRe at its PBEsol-relaxed geometry at the SCAN level of DFT.

Cell lengths 5.7491, 13.1150, 3.4145 Å; angles 90.00, 119.54, 90.00 degrees
Last column: nearest neighbours and their distance in Å.
Space group C2/m (No. 12)
Inequivalent atoms, fractional coordinates:
K1 0.2500 0.2500 0.0000  4 K 2.87-3.20
La1 0.0000 0.0000 0.5000  4 Re 2.87-3.20
Re1 0.0000 0.5000 0.5000  4 La 2.87-3.20

Calculated values
density of states at the Fermi level	0.86	states/eV/atom
E above lowest polymorph	2.7	meV/atom
magnetic moment	0.0	μB/cell
ΔE_f	1166	meV per atom
final energy	-31.55	eV per atom
crystal system	monoclinic

=====

Q: The lowest ΔE_f belongs to which entry?
A: KRbLa3

=====

Q: Look up the ΔE_f of the first one.
A: 981 meV per atom

=====

Q: Which value of final energy does entry 3 give?
A: -31.55 eV per atom